Entry 1:
# KNa2Tl

A geometry-optimized KNa2Tl structure (PBE, Alexandria).

CIF file:
```
data_KNa2Tl
_space_group_name_H-M_alt 'P 1'
_space_group_IT_number 1
_space_group_name_Hall 'P 1'
_cell_length_a 8.003
_cell_length_b 8.003
_cell_length_c 8.003
_cell_angle_alpha 54.91
_cell_angle_beta 154.57
_cell_angle_gamma 132.21
loop_
_atom_site_label
_atom_site_fract_x
_atom_site_fract_y
_atom_site_fract_z
Na1 0.000 0.278 0.278
Tl1 0.000 0.500 0.500
Na2 0.000 0.722 0.722
K1 0.000 0.000 0.000
```

Properties
The density of states at the Fermi level is 0.69 states/eV per atom. The value obtained for the energy of formation is 0.059 eV/atom. For the density, the calculation gives 2.96 g/cm3.

***

Entry 2:
# ZrTlMo2

A geometry-optimized ZrTlMo2 structure (PBE, Alexandria).

CIF file:
```
data_ZrTlMo2
_space_group_name_H-M_alt 'P 1'
_space_group_IT_number 1
_space_group_name_Hall 'P 1'
_cell_length_a 5.422
_cell_length_b 5.422
_cell_length_c 4.785
_cell_angle_alpha 67.65
_cell_angle_beta 67.65
_cell_angle_gamma 37.33
loop_
_atom_site_label
_atom_site_fract_x
_atom_site_fract_y
_atom_site_fract_z
Mo1 0.507 0.507 0.542
Tl1 0.750 0.750 0.750
Zr1 0.250 0.250 0.250
Mo2 0.993 0.993 0.958
```

Properties
The density of states at the Fermi level is 0.75 states/eV per atom. The value obtained for the energy of formation is 0.361 eV/atom. For the density, the calculation gives 10.36 g/cm3.

***

The highest energy of formation belongs to which entry? ZrTlMo2

***

Which of these has the highest energy of formation? ZrTlMo2

***

Which value of energy of formation does entry 2 give? 0.361 eV/atom

***

Which value of energy of formation does entry 1 give? 0.059 eV/atom